# Na2HfTc (PBE, relaxed)
data_Na2HfTc
_cell_length_a 3.789
_cell_length_b 3.789
_cell_length_c 23.765
_cell_angle_alpha 90.00
_cell_angle_beta 90.00
_cell_angle_gamma 90.00
_symmetry_space_group_name_H-M 'I -4 2 d'
_symmetry_Int_Tables_number 122
_symmetry_space_group_name_Hall 'I -4 2bw'
loop_
_atom_site_label
_atom_site_type_symbol
_atom_site_fract_x
_atom_site_fract_y
_atom_site_fract_z
Na1 Na 0.237 0.250 0.125
Hf1 Hf 0.000 0.000 0.500
Tc1 Tc 0.000 0.000 0.000
# excess energy over the best structure of this formula in the dataset	0.00	eV per formula unit
# energy of formation from the pure elements	649.2	meV per atom
# uncorrected energy	-5.090	eV/atom
# DOS at the Fermi energy	16.46	states/eV/cell